1 | # DyBiBr | Alexandria via LeMat-Bulk | PBE | relaxed
data_DyBiBr
_chemical_formula_sum 'Dy2 Bi2 Br2'
_symmetry_space_group_name_H-M 'P 1'
_symmetry_Int_Tables_number 1
_cell_length_a 4.058
_cell_length_b 7.963
_cell_length_c 8.622
_cell_angle_alpha 54.69
_cell_angle_beta 103.63
_cell_angle_gamma 75.24
loop_
_symmetry_equiv_pos_as_xyz
'x,y,z'
loop_
_atom_site_label
_atom_site_fract_x
_atom_site_fract_y
_atom_site_fract_z
Bi1 0.751 0.745 0.247
Bi2 0.249 0.255 0.753
Dy1 0.548 0.321 0.416
Dy2 0.452 0.679 0.584
Br1 0.017 0.209 0.242
Br2 0.983 0.791 0.758
# symmetry = C2/m
# crystal system = monoclinic


2 | # DyBiBr | Alexandria via LeMat-Bulk | PBE | relaxed
data_DyBiBr
_chemical_formula_sum 'Dy1 Bi1 Br1'
_symmetry_space_group_name_H-M 'P 1'
_symmetry_Int_Tables_number 1
_cell_length_a 3.693
_cell_length_b 5.134
_cell_length_c 5.134
_cell_angle_alpha 120.00
_cell_angle_beta 90.00
_cell_angle_gamma 90.00
loop_
_symmetry_equiv_pos_as_xyz
'x,y,z'
loop_
_atom_site_label
_atom_site_fract_x
_atom_site_fract_y
_atom_site_fract_z
Dy1 0.167 0.000 0.000
Bi1 0.667 0.667 0.333
Br1 0.167 0.333 0.667
# symmetry = P-6m2
# crystal system = hexagonal


Which is the most stable structure? 1 is the most stable.